Nd6Co2OsCl3 | PBE-GGA | relaxed

Summary:
Its symmetry is C2/m (12). Its formation energy without anion corrections is -0.802 eV per atom. The total energy comes out at -5.77 eV per atom. The value obtained for the density of states at the Fermi level is 4.42 states/eV per cell.

Cell: 9.745 9.745 8.912 Å, 111.31 111.31 23.60°
Sites, in units of the cell vectors:
Nd 0.011 0.011 0.231
Nd 0.322 0.322 0.443
Nd 0.342 0.342 0.887
Nd 0.658 0.658 0.113
Nd 0.678 0.678 0.557
Nd 0.989 0.989 0.769
Co 0.169 0.169 0.339
Co 0.831 0.831 0.661
Os 0.500 0.500 0.000
Cl 0.166 0.166 0.833
Cl 0.500 0.500 0.500
Cl 0.834 0.834 0.167